Li3DyAg4: optimized geometry, PBE.

## Properties
The raw total energy comes out at -2.93 eV per atom. The calculation puts the total magnetization at 0.000 μB/atom. The value obtained for the volume is 146 Å³/cell. The symmetry is P4/mmm, No. 123.

Lattice parameters (Å, degrees): 3.378 3.378 12.810 90.00 90.00 90.00
Element x y z (fractional)
Ag: 0.000 0.000 0.156
Li: 0.500 0.500 0.500
Ag: 0.000 0.000 0.615
Li: 0.500 0.500 0.730
Ag: 0.000 0.000 0.844
Li: 0.500 0.500 0.270
Ag: 0.000 0.000 0.385
Dy: 0.500 0.500 0.000